Compound: CeNp2As2N2
Source: the Alexandria database
Functional: PBE
Structure: relaxed

Cell and atoms, written as POSCAR:
```
CeNp2As2N2
1.0
-1.000 3.620 -0.804
-6.296 0.048 -1.128
-3.760 2.122 5.060
As N Ce Np
2 2 1 2
direct
0.565 0.226 0.644
0.435 0.774 0.356
0.213 0.666 0.908
0.787 0.334 0.092
0.000 0.000 0.000
0.186 0.376 0.252
0.814 0.624 0.748
```

* ΔE_f (raw): -7.37 eV per formula unit
* uncorrected energy: -65.1 eV/f.u.
* density of states at the Fermi level: 14.67 states/eV/cell

Compound: CeNpAsN
Source: the Alexandria database
Functional: PBE
Structure: relaxed

Cell and atoms, written as POSCAR:
```
CeNpAsN
1.0
-2.978 -2.218 2.426
2.246 -3.763 -0.683
4.666 1.497 7.097
N As Np Ce
2 2 2 2
direct
0.500 0.000 0.611
0.000 0.500 0.389
0.500 0.000 0.201
0.000 0.500 0.799
0.500 0.000 0.854
0.000 0.500 0.146
0.000 0.000 0.500
0.500 0.500 0.500
```

* ΔE_f (raw): -3.88 eV per formula unit
* uncorrected energy: -35.7 eV/f.u.
* density of states at the Fermi level: 24.04 states/eV/cell

Compound: CeNpAsN2
Source: the Alexandria database
Functional: PBE
Structure: relaxed

Cell and atoms, written as POSCAR:
```
CeNpAsN2
1.0
3.808 0.000 0.000
0.000 3.808 0.000
-1.904 -1.904 6.033
N Ce As Np
2 1 1 1
direct
0.243 0.743 0.486
0.743 0.243 0.486
0.853 0.853 0.706
0.505 0.505 0.010
0.156 0.156 0.312
```

* ΔE_f (raw): -5.99 eV per formula unit
* uncorrected energy: -46.2 eV/f.u.
* density of states at the Fermi level: 7.62 states/eV/cell

What is the density of states at the Fermi level in the third record?
7.62 states/eV/cell

Which of these has the highest ΔE_f (raw)?
CeNpAsN

Which value of density of states at the Fermi level does entry 2 give?
24.04 states/eV/cell

Number 2 is which compound?
CeNpAsN